No. 1
GGA-PBE BaGa6Ir4, relaxed; space group = P-6m2; ΔH_f (0 K) = -420 meV per atom
1.0
7.541 0.000 0.000
-3.770 6.531 0.000
0.000 0.000 3.973
Ba Ga Ir
1 6 4
Direct
0.000 0.000 0.000
0.197 0.394 0.500
0.197 0.803 0.500
0.531 0.062 0.000
0.531 0.469 0.000
0.606 0.803 0.500
0.938 0.469 0.000
0.333 0.667 0.000
0.417 0.208 0.500
0.792 0.208 0.500
0.792 0.583 0.500


No. 2
GGA-PBE Pa2Fe5SiB2, relaxed; space group = P4/mbm; VASP energy = -8.442 eV per atom
1.0
8.940 0.000 0.000
0.000 8.940 0.000
0.000 0.000 3.079
Pa Fe Si B
4 10 2 4
Direct
0.177 0.323 0.000
0.323 0.823 0.000
0.677 0.177 0.000
0.823 0.677 0.000
0.000 0.500 0.500
0.070 0.780 0.500
0.220 0.070 0.500
0.280 0.570 0.500
0.430 0.280 0.500
0.500 0.000 0.500
0.570 0.720 0.500
0.720 0.430 0.500
0.780 0.930 0.500
0.930 0.220 0.500
0.000 0.000 0.000
0.500 0.500 0.000
0.118 0.618 0.000
0.382 0.118 0.000
0.618 0.882 0.000
0.882 0.382 0.000


Computed volume (Å³/cell) in order:
195.7; 246.0